First-principles (GGA-PBE) data for crystalline Cu4Ag5 at its relaxed geometry, as listed in OQMD via LeMat-Bulk.

abc: 9.434 2.849 11.058
angles: 90.00 112.84 90.00
Space group C2/m (No. 12)
Inequivalent atoms, fractional coordinates:
Cu (0.015, 0.000, 0.338)
Cu (0.151, 0.500, 0.225)
Ag (0.000, 0.000, 0.000)
Ag (0.165, 0.500, 0.566)
Ag (0.170, 0.500, 0.871)

Output
The density comes out at 9.62 Mg/m³. For the total energy, the calculation gives -3.140 eV/atom. The calculation puts the offset from the most stable computed form at 4.17 kJ per mole of atoms. The formation energy from the elements comes out at 0.081 eV/atom.